Below is a relaxed LaW11O33 crystal, with properties calculated at the PBE+U level.

Cell and atoms, written as POSCAR:
```
LaW11O33
1.0
8.6806 0.0000 0.0000
-3.4718 7.9582 0.0000
-1.7320 -0.7561 9.3225
La W O
1 11 33
Direct
0.0000 0.0000 0.0000
0.0000 0.5000 0.5000
0.0962 0.1415 0.6767
0.1847 0.7697 0.8604
0.2770 0.4147 0.0486
0.3670 0.0430 0.2326
0.4514 0.6788 0.4113
0.5486 0.3212 0.5887
0.6330 0.9570 0.7674
0.7230 0.5853 0.9514
0.8153 0.2303 0.1396
0.9038 0.8585 0.3233
0.0000 0.0000 0.5000
0.0446 0.3091 0.0896
0.0457 0.3186 0.5919
0.0912 0.6374 0.6819
0.1314 0.9565 0.2653
0.1337 0.9564 0.7794
0.1773 0.2649 0.8680
0.2269 0.5903 0.4554
0.2265 0.5904 0.9549
0.2642 0.9113 0.0441
0.3091 0.2204 0.1325
0.3193 0.2276 0.6361
0.3631 0.5447 0.2276
0.4073 0.8621 0.3180
0.4098 0.8640 0.8182
0.4546 0.1810 0.4089
0.5000 0.5000 0.0000
0.5000 0.5000 0.5000
0.5454 0.8190 0.5911
0.5901 0.1360 0.1818
0.5927 0.1379 0.6820
0.6369 0.4553 0.7724
0.6807 0.7724 0.3639
0.6909 0.7796 0.8675
0.7358 0.0887 0.9559
0.7735 0.4096 0.0451
0.7731 0.4097 0.5446
0.8227 0.7351 0.1320
0.8663 0.0436 0.2206
0.8686 0.0435 0.7347
0.9088 0.3626 0.3181
0.9543 0.6814 0.4081
0.9554 0.6909 0.9104
```

E_tot, eV/atom: -7.60
Total magnetic moment, μB/f.u.: 0.00